Entry from Alexandria via LeMat-Bulk: a relaxed structure of Ca2PdRhO6 (GGA-PBE).

Results
formation energy (no corrections): -13.7 eV per formula unit
VASP energy: -5.9964 eV per atom
symmetry: P4mm, No. 99
M_tot: 0.0 μB per formula unit

The structure in POSCAR format:
```
Ca2PdRhO6
1.0
5.4849 0.0000 0.0000
0.0000 5.4849 0.0000
0.0000 0.0000 4.3906
Ca Pd Rh O
2 1 1 6
direct
0.0000 0.5000 0.0000
0.5000 0.0000 0.0000
0.0000 0.0000 0.5942
0.5000 0.5000 0.5599
0.0000 0.0000 0.1259
0.2576 0.2576 0.6808
0.2576 0.7424 0.6808
0.5000 0.5000 0.1379
0.7424 0.2576 0.6808
0.7424 0.7424 0.6808
```